Pu2PaGa | PBE-GGA | relaxed

The calculation puts the total energy at -41.2 eV/f.u. The energy of formation is -1.1 meV per atom. For the polymorph energy (0 for the lowest one), the calculation gives 132 meV per atom. The calculation puts the density of states at the Fermi level at 40.87 states/eV per cell.

It has space group Fm-3m (No. 225), with a = 7.104 Å, b = 7.104 Å, c = 7.104 Å, α = 90.00°, β = 90.00° and γ = 90.00°. The distinct sites, in fractional coordinates, are Pu at (0.250, 0.250, 0.250), Pa at (0.000, 0.000, 0.000) and Ga at (0.000, 0.000, 0.500).



Ta2BeRe | PBE-GGA | relaxed

The calculation puts the total energy at -40.3 eV/f.u. The energy of formation is -101.1 meV per atom. For the polymorph energy (0 for the lowest one), the calculation gives 31 meV per atom. The calculation puts the density of states at the Fermi level at 1.21 states/eV per cell.

It has space group P4mm (No. 99), with a = 3.194 Å, b = 3.194 Å, c = 5.977 Å, α = 90.00°, β = 90.00° and γ = 90.00°. The distinct sites, in fractional coordinates, are Ta at (0.000, 0.000, 0.000), Ta at (0.500, 0.500, 0.300), Be at (0.000, 0.000, 0.545) and Re at (0.500, 0.500, 0.731).



Be3IrPt | PBE-GGA | relaxed

The calculation puts the total energy at -23.6 eV/f.u. The energy of formation is 492.6 meV per atom. For the polymorph energy (0 for the lowest one), the calculation gives 113 meV per atom. The calculation puts the density of states at the Fermi level at 2.67 states/eV per cell.

It has space group Pm-3m (No. 221), with a = 4.113 Å, b = 4.113 Å, c = 4.113 Å, α = 90.00°, β = 90.00° and γ = 90.00°. The distinct sites, in fractional coordinates, are Be at (0.000, 0.000, 0.500), Ir at (0.500, 0.500, 0.500) and Pt at (0.000, 0.000, 0.000).



ZrMo2Ru | PBE-GGA | relaxed

The calculation puts the total energy at -39.4 eV/f.u. The energy of formation is 21.7 meV per atom. For the polymorph energy (0 for the lowest one), the calculation gives 157 meV per atom. The calculation puts the density of states at the Fermi level at 3.62 states/eV per cell.

It has space group P2/m (No. 10), with a = 2.857 Å, b = 4.584 Å, c = 5.189 Å, α = 90.00°, β = 101.53° and γ = 90.00°. The distinct sites, in fractional coordinates, are Zr at (0.000, 0.000, 0.000), Mo at (0.251, 0.500, 0.748) and Ru at (0.500, 0.000, 0.500).



Which formula does entry 2 have?
Ta2BeRe



polymorph energy (0 for the lowest one) of number 2 (Ta2BeRe)?
31 meV per atom



What is the formula in the first record?
Pu2PaGa



Number 1 is which compound?
Pu2PaGa